Below is an optimized crystal structure of TiFeBr2, with properties calculated at the PBE level.

Crystal system ... tetragonal
Magnetization ... 0.01 μB per cell
Energy relative to the elements, uncorrected ... 397 meV/atom
E_tot ... -18.116 eV per formula unit

abc: 5.678 5.678 10.636
angles: 90.00 90.00 90.00
Fractional positions:
Ti: 0.000 0.000 0.000
Ti: 0.000 0.500 0.250
Ti: 0.500 0.000 0.750
Ti: 0.500 0.500 0.500
Fe: 0.000 0.000 0.500
Fe: 0.000 0.500 0.750
Fe: 0.500 0.000 0.250
Fe: 0.500 0.500 0.000
Br: 0.221 0.250 0.625
Br: 0.250 0.721 0.875
Br: 0.250 0.779 0.375
Br: 0.279 0.250 0.125
Br: 0.721 0.750 0.125
Br: 0.750 0.221 0.375
Br: 0.750 0.279 0.875
Br: 0.779 0.750 0.625